# 1
Density functional theory data (GGA-PBE) for a relaxed structure of Rb3Cd2Pb4.

a = 5.083 Å, b = 7.459 Å, c = 11.538 Å
α = 64.80°, β = 77.21°, γ = 70.08°
Fractional positions:
Rb 0.000 0.000 0.000
Rb 0.628 0.134 0.609
Rb 0.372 0.866 0.391
Pb 0.087 0.475 0.350
Pb 0.718 0.653 0.913
Pb 0.282 0.347 0.087
Pb 0.913 0.525 0.650
Cd 0.661 0.463 0.215
Cd 0.339 0.537 0.785

Values from the calculation:
Total moment: 0.0000 μB/atom
Energy of formation: -0.80 eV/f.u.

# 2
Density functional theory data (GGA-PBE) for a relaxed structure of BaCd6Au.

a = 4.897 Å, b = 4.897 Å, c = 10.520 Å
α = 76.54°, β = 76.54°, γ = 60.00°
Fractional positions:
Cd 0.747 0.747 0.759
Cd 0.906 0.906 0.283
Cd 0.094 0.094 0.717
Cd 0.638 0.638 0.087
Cd 0.253 0.253 0.241
Cd 0.362 0.362 0.913
Au 0.000 0.000 0.000
Ba 0.500 0.500 0.500

Values from the calculation:
Total moment: 0.0000 μB/atom
Energy of formation: -1.56 eV/f.u.

# 3
Density functional theory data (GGA-PBE) for a relaxed structure of HoThIrPt.

a = 5.006 Å, b = 5.006 Å, c = 5.006 Å
α = 60.00°, β = 60.00°, γ = 60.00°
Fractional positions:
Ho 0.000 0.000 0.000
Ir 0.250 0.250 0.250
Th 0.500 0.500 0.500
Pt 0.750 0.750 0.750

Values from the calculation:
Distance to the lowest polymorph of the same formula: 0.0756 eV/atom
Total moment: 0.0000 μB/atom
Energy of formation: -3.81 eV/f.u.

# 4
Density functional theory data (GGA-PBE) for a relaxed structure of CoBPt2.

a = 2.824 Å, b = 2.824 Å, c = 8.182 Å
α = 80.06°, β = 80.06°, γ = 60.00°
Each line ends with the local moment (μB).
Fractional positions:
B 0.500 0.500 0.500  -0.02
Co 0.000 0.000 0.000  1.95
Pt 0.894 0.894 0.318  0.02
Pt 0.106 0.106 0.682  0.02

Values from the calculation:
Total moment: 0.4800 μB/atom
Energy of formation: 1.10 eV/f.u.

# 5
Density functional theory data (GGA-PBE) for a relaxed structure of Cd3P.

a = 6.443 Å, b = 6.629 Å, c = 8.365 Å
α = 90.00°, β = 90.00°, γ = 90.00°
Fractional positions:
P 0.514 0.130 0.250
P 0.014 0.370 0.750
P 0.986 0.630 0.250
P 0.486 0.870 0.750
Cd 0.426 0.466 0.750
Cd 0.182 0.319 0.057
Cd 0.318 0.819 0.057
Cd 0.818 0.681 0.943
Cd 0.926 0.034 0.250
Cd 0.074 0.966 0.750
Cd 0.574 0.534 0.250
Cd 0.682 0.181 0.943
Cd 0.182 0.319 0.443
Cd 0.318 0.819 0.443
Cd 0.818 0.681 0.557
Cd 0.682 0.181 0.557

Values from the calculation:
Distance to the lowest polymorph of the same formula: 0.0507 eV/atom
Total moment: 0.0000 μB/atom
Energy of formation: 0.56 eV/f.u.

# 6
Density functional theory data (GGA-PBE) for a relaxed structure of Cu5Pd4Pb.

a = 4.337 Å, b = 7.558 Å, c = 5.220 Å
α = 94.38°, β = 114.55°, γ = 90.00°
Fractional positions:
Cu 0.806 0.070 0.612
Cu 0.244 0.584 0.487
Cu 0.756 0.416 0.513
Cu 0.194 0.930 0.388
Cu 0.500 0.500 0.000
Pd 0.028 0.310 0.056
Pd 0.691 0.748 0.382
Pd 0.309 0.252 0.618
Pd 0.972 0.690 0.944
Pb 0.500 0.000 0.000

Values from the calculation:
Total moment: 0.0000 μB/atom
Energy of formation: 0.11 eV/f.u.

# 7
Density functional theory data (GGA-PBE) for a relaxed structure of NpTaH2.

a = 2.946 Å, b = 2.946 Å, c = 6.474 Å
α = 76.85°, β = 76.85°, γ = 60.00°
Each line ends with the local moment (μB).
Fractional positions:
Ta 0.500 0.500 0.500  -0.06
H 0.117 0.117 0.648  0.00
H 0.883 0.883 0.352  0.00
Np 0.000 0.000 0.000  3.18

Values from the calculation:
Total moment: 0.7951 μB/atom
Total energy: -7.892 eV/atom

# 8
Density functional theory data (GGA-PBE) for a relaxed structure of InGa2Bi.

a = 4.456 Å, b = 4.753 Å, c = 4.753 Å
α = 90.00°, β = 90.00°, γ = 90.00°
Fractional positions:
Bi 0.500 0.500 0.500
In 0.500 0.000 0.000
Ga 0.000 0.500 0.000
Ga 0.000 0.000 0.500

Values from the calculation:
Distance to the lowest polymorph of the same formula: 0.0078 eV/atom
Total moment: 0.0000 μB/atom
Energy of formation: 0.26 eV/f.u.

> Number 5 is which compound?

Cd3P

> total moment of number 8 (InGa2Bi)?

0.0000 μB/atom

> Which formula does entry 3 have?

HoThIrPt